{
  "formula": "Mn2Zn4Ga",
  "functional": "PBE",
  "state": "relaxed",
  "lattice": [[2.4054, -4.2475, 0.0000], [2.4054, 4.2475, 0.0000], [-0.0160, 0.0000, 5.1069]],
  "species": ["Mn", "Mn", "Zn", "Zn", "Zn", "Zn", "Ga"],
  "fractional_positions": [[0.0020, 0.0020, 0.2519], [0.9980, 0.9980, 0.7481], [0.0000, 0.5000, 0.0000], [0.3306, 0.6694, 0.5000], [0.5000, 0.0000, 0.0000], [0.6694, 0.3306, 0.5000], [0.5000, 0.5000, 0.0000]],
  "delta_e_f_ev_per_atom": 0.14,
  "n_ef_per_ev_fu": 4.198
}

---

{
  "formula": "AcY2AlPd4",
  "functional": "PBE",
  "state": "relaxed",
  "lattice": [[2.4008, 1.3861, 8.8700], [-2.4008, 1.3861, 8.8700], [0.0000, -2.7722, 8.8700]],
  "species": ["Ac", "Y", "Y", "Al", "Pd", "Pd", "Pd", "Pd"],
  "fractional_positions": [[0.0000, 0.0000, 0.0000], [0.2368, 0.2368, 0.2368], [0.7632, 0.7632, 0.7632], [0.5000, 0.5000, 0.5000], [0.1318, 0.1318, 0.1318], [0.4007, 0.4007, 0.4007], [0.5993, 0.5993, 0.5993], [0.8682, 0.8682, 0.8682]],
  "delta_e_f_ev_per_atom": -0.79,
  "n_ef_per_ev_fu": 6.593
}

---

{
  "formula": "BeCd3Cu",
  "functional": "PBE",
  "state": "relaxed",
  "lattice": [[4.6648, 0.0000, 0.0000], [0.0000, 4.6648, 0.0000], [0.0000, 0.0000, 4.6648]],
  "species": ["Be", "Cd", "Cd", "Cd", "Cu"],
  "fractional_positions": [[0.0000, 0.0000, 0.0000], [0.0000, 0.0000, 0.5000], [0.0000, 0.5000, 0.0000], [0.5000, 0.0000, 0.0000], [0.5000, 0.5000, 0.5000]],
  "delta_e_f_ev_per_atom": 0.49,
  "n_ef_per_ev_fu": 1.443
}

---

{
  "formula": "VCoS2",
  "functional": "PBE",
  "state": "relaxed",
  "lattice": [[1.5382, 0.8881, 7.3265], [-1.5382, 0.8881, 7.3265], [0.0000, -1.7762, 7.3265]],
  "species": ["V", "Co", "S", "S"],
  "fractional_positions": [[0.0000, 0.0000, 0.0000], [0.5000, 0.5000, 0.5000], [0.4027, 0.4027, 0.4027], [0.5973, 0.5973, 0.5973]],
  "e_tot_ev_per_atom": -6.5352,
  "n_ef_per_ev_fu": 4.259
}

---

{
  "formula": "KRb2Zn2H6",
  "functional": "PBE",
  "state": "relaxed",
  "lattice": [[5.4823, -2.9581, 0.0000], [5.4823, 2.9581, 0.0000], [-3.9828, 0.0000, 6.5272]],
  "species": ["K", "Rb", "Rb", "Zn", "Zn", "H", "H", "H", "H", "H", "H"],
  "fractional_positions": [[0.0000, 0.0000, 0.0000], [0.2040, 0.2040, 0.6908], [0.7960, 0.7960, 0.3092], [0.4691, 0.4691, 0.2985], [0.5309, 0.5309, 0.7015], [0.2138, 0.6839, 0.6931], [0.2944, 0.2944, 0.1496], [0.3161, 0.7862, 0.3069], [0.6839, 0.2138, 0.6931], [0.7056, 0.7056, 0.8504], [0.7862, 0.3161, 0.3069]],
  "e_tot_ev_per_atom": -2.4698,
  "n_ef_per_ev_fu": 1.706
}

---

{
  "formula": "FeHg2Cl",
  "functional": "PBE",
  "state": "relaxed",
  "lattice": [[4.0768, 0.0000, 0.0000], [0.0000, 4.0768, 0.0000], [0.0000, 0.0000, 5.3161]],
  "species": ["Fe", "Hg", "Hg", "Cl"],
  "fractional_positions": [[0.0000, 0.0000, 0.0000], [0.0000, 0.5000, 0.5000], [0.5000, 0.0000, 0.5000], [0.5000, 0.5000, 0.0000]],
  "e_tot_ev_per_atom": -2.3220,
  "n_ef_per_ev_fu": 4.859
}

---

{
  "formula": "Ce2AuI2",
  "functional": "PBE",
  "state": "relaxed",
  "lattice": [[2.1694, 1.2525, 11.5096], [-2.1694, 1.2525, 11.5096], [0.0000, -2.5050, 11.5096]],
  "species": ["Ce", "Ce", "Au", "I", "I"],
  "fractional_positions": [[0.1175, 0.1175, 0.1175], [0.8825, 0.8825, 0.8825], [0.5000, 0.5000, 0.5000], [0.2774, 0.2774, 0.2774], [0.7226, 0.7226, 0.7226]],
  "e_tot_ev_per_atom": -4.5923,
  "n_ef_per_ev_fu": 14.343
}

---

{
  "formula": "NdAlCd",
  "functional": "PBE",
  "state": "relaxed",
  "lattice": [[1.7532, -8.8791, 0.0000], [1.7532, 8.8791, 0.0000], [0.0000, 0.0000, 5.2291]],
  "species": ["Nd", "Nd", "Al", "Al", "Cd", "Cd"],
  "fractional_positions": [[0.1570, 0.8430, 0.7500], [0.8430, 0.1570, 0.2500], [0.3294, 0.6706, 0.7500], [0.6706, 0.3294, 0.2500], [0.0369, 0.9631, 0.2500], [0.9631, 0.0369, 0.7500]],
  "delta_e_f_ev_per_atom": -0.06,
  "n_ef_per_ev_fu": 2.436
}

---

Repeat the seventh record exactly.
{
  "formula": "Ce2AuI2",
  "functional": "PBE",
  "state": "relaxed",
  "lattice": [[2.1694, 1.2525, 11.5096], [-2.1694, 1.2525, 11.5096], [0.0000, -2.5050, 11.5096]],
  "species": ["Ce", "Ce", "Au", "I", "I"],
  "fractional_positions": [[0.1175, 0.1175, 0.1175], [0.8825, 0.8825, 0.8825], [0.5000, 0.5000, 0.5000], [0.2774, 0.2774, 0.2774], [0.7226, 0.7226, 0.7226]],
  "e_tot_ev_per_atom": -4.5923,
  "n_ef_per_ev_fu": 14.343
}